# 1
{"formula": "Rb2NbRu", "functional": "PBEsol", "state": "relaxed", "total_energy_ev_per_atom": -3.400, "mass_density_g_cm3": 5.18, "delta_e_f_ev_per_atom": 2.361, "lattice_angstrom": [[0.000, 3.883, 3.883], [3.883, 0.000, 3.883], [3.883, 3.883, 0.000]], "species": ["Rb", "Rb", "Nb", "Ru"], "frac_coords": [[0.250, 0.250, 0.250], [0.750, 0.750, 0.750], [0.000, 0.000, 0.000], [0.500, 0.500, 0.500]]}

# 2
{"formula": "RbNbRuS2", "functional": "PBEsol", "state": "relaxed", "e_form_raw_ev_per_atom": 0.09, "total_energy_ev_per_atom": -6.066, "mass_density_g_cm3": 4.99, "lattice_angstrom": [[4.922, 0.000, 0.000], [0.000, 4.922, 0.000], [0.000, 0.000, 4.722]], "species": ["Rb", "Nb", "Ru", "S", "S"], "frac_coords": [[0.000, 0.000, 0.000], [0.500, 0.500, 0.500], [0.500, 0.500, 0.000], [0.000, 0.500, 0.500], [0.500, 0.000, 0.500]]}

# 3
{"formula": "Rb3NbS", "functional": "PBEsol", "state": "relaxed", "e_form_raw_ev_per_atom": 1.13, "total_energy_ev_per_atom": -2.523, "mass_density_g_cm3": 2.49, "lattice_angstrom": [[6.334, 0.000, 0.000], [0.000, 6.334, 0.000], [0.000, 0.000, 6.334]], "species": ["Rb", "Rb", "Rb", "Nb", "S"], "frac_coords": [[0.000, 0.000, 0.500], [0.000, 0.500, 0.000], [0.500, 0.000, 0.000], [0.000, 0.000, 0.000], [0.500, 0.500, 0.500]]}

# 4
{"formula": "Rb2Nb2S", "functional": "PBEsol", "state": "relaxed", "e_form_raw_ev_per_atom": 0.43, "total_energy_ev_per_atom": -5.190, "mass_density_g_cm3": 4.21, "lattice_angstrom": [[-1.827, 1.827, 11.498], [1.827, -1.827, 11.498], [1.827, 1.827, -11.498]], "species": ["Rb", "Rb", "Nb", "Nb", "S"], "frac_coords": [[0.084, 0.084, 0.000], [0.916, 0.916, 0.000], [0.250, 0.750, 0.500], [0.750, 0.250, 0.500], [0.500, 0.500, 0.000]]}

# 5
{"formula": "Rb3NbSb", "functional": "PBEsol", "state": "relaxed", "e_form_raw_ev_per_atom": 1.30, "total_energy_ev_per_atom": -2.388, "mass_density_g_cm3": 2.90, "lattice_angstrom": [[6.459, 0.000, 0.000], [0.000, 6.459, 0.000], [0.000, 0.000, 6.459]], "species": ["Rb", "Rb", "Rb", "Nb", "Sb"], "frac_coords": [[0.000, 0.000, 0.500], [0.000, 0.500, 0.000], [0.500, 0.000, 0.000], [0.000, 0.000, 0.000], [0.500, 0.500, 0.500]]}

# 6
{"formula": "RbNb2Sb2", "functional": "PBEsol", "state": "relaxed", "e_form_raw_ev_per_atom": -0.11, "total_energy_ev_per_atom": -6.467, "mass_density_g_cm3": 6.43, "lattice_angstrom": [[-2.106, 2.106, 7.498], [2.106, -2.106, 7.498], [2.106, 2.106, -7.498]], "species": ["Rb", "Nb", "Nb", "Sb", "Sb"], "frac_coords": [[0.000, 0.000, 0.000], [0.250, 0.750, 0.500], [0.750, 0.250, 0.500], [0.374, 0.374, 0.000], [0.626, 0.626, 0.000]]}

# 7
{"formula": "RbNbSbTe2", "functional": "PBEsol", "state": "relaxed", "e_form_raw_ev_per_atom": 1.83, "total_energy_ev_per_atom": -2.857, "mass_density_g_cm3": 4.84, "lattice_angstrom": [[5.836, 0.000, 0.000], [0.000, 5.836, 0.000], [0.000, 0.000, 5.593]], "species": ["Rb", "Nb", "Sb", "Te", "Te"], "frac_coords": [[0.000, 0.000, 0.000], [0.500, 0.500, 0.500], [0.000, 0.000, 0.500], [0.000, 0.500, 0.000], [0.500, 0.000, 0.000]]}

# 8
{"formula": "Rb2Sc2Nb", "functional": "PBEsol", "state": "relaxed", "total_energy_ev_per_atom": -3.429, "mass_density_g_cm3": 4.07, "delta_e_f_ev_per_atom": 1.787, "lattice_angstrom": [[-2.863, 2.863, 4.404], [2.863, -2.863, 4.404], [2.863, 2.863, -4.404]], "species": ["Rb", "Rb", "Sc", "Sc", "Nb"], "frac_coords": [[0.156, 0.156, 0.000], [0.844, 0.844, 0.000], [0.250, 0.750, 0.500], [0.750, 0.250, 0.500], [0.500, 0.500, 0.000]]}

Please write out number 3 again, unchanged.
{"formula": "Rb3NbS", "functional": "PBEsol", "state": "relaxed", "e_form_raw_ev_per_atom": 1.13, "total_energy_ev_per_atom": -2.523, "mass_density_g_cm3": 2.49, "lattice_angstrom": [[6.334, 0.000, 0.000], [0.000, 6.334, 0.000], [0.000, 0.000, 6.334]], "species": ["Rb", "Rb", "Rb", "Nb", "S"], "frac_coords": [[0.000, 0.000, 0.500], [0.000, 0.500, 0.000], [0.500, 0.000, 0.000], [0.000, 0.000, 0.000], [0.500, 0.500, 0.500]]}